Nd3GaTe (PBE-GGA, optimized geometry); V = 356.4 Å³ per cell; space-group type = R32, No. 155; energy = -4.559 eV/atom
1.0
3.647 2.106 7.735
-3.647 2.106 7.735
0.000 -4.211 7.735
Nd Ga Te
6 2 2
Direct
0.092 0.461 0.701
0.299 0.539 0.908
0.461 0.701 0.092
0.539 0.908 0.299
0.701 0.092 0.461
0.908 0.299 0.539
0.331 0.331 0.331
0.669 0.669 0.669
0.150 0.150 0.150
0.850 0.850 0.850